# 1
ErSc2PaSb4 (GGA-PBE, relaxed); calculated volume = 219 Å³/cell; mass density = 7392 kg/m3; total moment = 0.8 μB/f.u.; crystal system = monoclinic; formation energy without anion corrections = -0.849 eV/atom; SG = P2/m
1.0
-3.9039 1.7217 -0.1968
-2.8563 -6.6517 -1.5312
0.0822 1.0189 7.2821
Er Sc Pa Sb
1 2 1 4
Cartesian
-3.3801 -2.4650 -0.8640
-1.9108 1.3703 3.5426
-1.3870 -2.8164 2.8754
0.0000 0.0000 0.0000
-2.6639 -0.5775 1.4409
-4.0141 -3.3336 4.1132
-0.6426 -0.8868 4.9900
-2.1314 -4.7460 0.7609

---

# 2
TbEr2PaSb4 (GGA-PBE, relaxed); calculated volume = 236 Å³/cell; mass density = 8540 kg/m3; total moment = 0.9 μB/f.u.; crystal system = monoclinic; formation energy without anion corrections = -0.941 eV/atom; SG = P2/m
1.0
4.3658 0.0000 0.0000
0.0000 7.5685 0.1384
0.0000 -2.6360 7.0808
Tb Er Pa Sb
1 2 1 4
Cartesian
2.1829 3.7842 0.0692
2.1829 -1.3180 3.5404
0.0000 2.4662 3.6096
0.0000 0.0000 0.0000
2.1829 1.2313 1.8279
2.1829 3.7011 5.3912
0.0000 -0.0960 5.3275
0.0000 5.0285 1.8916

---

# 3
ErTh2PaSb5 (GGA-PBE, relaxed); calculated volume = 318 Å³/cell; mass density = 7693 kg/m3; total moment = 1.0 μB/f.u.; crystal system = tetragonal; formation energy without anion corrections = -0.041 eV/atom; SG = P4/mmm
1.0
-0.8287 4.1829 3.0483
-3.7604 -2.6078 2.5562
7.8413 -3.9307 7.5253
Er Th Pa Sb
1 2 1 5
Cartesian
3.9206 -1.9653 3.7626
0.1791 -0.4525 5.1762
3.0731 -1.9032 7.9535
0.0000 0.0000 0.0000
2.0404 -3.2693 5.0407
3.5063 0.1261 5.2868
5.8902 -2.9526 5.6528
1.9511 -0.9781 1.8725
-2.2945 0.7875 2.8022

---

# 4
Er2TmPaSb4 (GGA-PBE, relaxed); calculated volume = 233 Å³/cell; mass density = 8705 kg/m3; total moment = 0.9 μB/f.u.; crystal system = monoclinic; formation energy without anion corrections = -0.919 eV/atom; SG = P2/m
1.0
4.3502 0.0000 0.0000
0.0000 7.5316 0.1346
0.0000 -2.6268 7.0651
Er Tm Pa Sb
2 1 1 4
Cartesian
2.1751 -1.3134 3.5326
0.0000 2.4524 3.5999
2.1751 3.7658 0.0673
0.0000 0.0000 0.0000
2.1751 1.2418 1.8144
2.1751 3.6629 5.3853
0.0000 -0.0802 5.3362
0.0000 4.9849 1.8635

---

# 5
ErSc2Pa (GGA-PBE, relaxed); distance to the lowest polymorph of the same formula = 0.0 meV per atom; calculated volume = 102 Å³/cell; mass density = 7919 kg/m3; ΔE_f = 6 kJ/mol of atoms; total moment = 0.0 μB/f.u.; crystal system = trigonal; SG = R3m
1.0
3.2816 0.0000 0.0000
1.6408 2.8420 0.0000
1.6408 0.9473 10.9770
Er Sc Pa
1 2 1
Cartesian
3.2816 1.8946 0.0139
1.6408 0.9473 8.1508
1.6408 0.9473 2.8207
3.2816 1.8946 5.4801

---

# 6
ErSc2Pa (GGA-PBE, relaxed); distance to the lowest polymorph of the same formula = 90.4 meV per atom; calculated volume = 103 Å³/cell; mass density = 7897 kg/m3; ΔE_f = 15 kJ/mol of atoms; total moment = 0.0 μB/f.u.; crystal system = tetragonal; SG = P4/mmm
1.0
-3.0909 -3.3473 -1.0233
2.7324 -3.1695 2.1145
-2.2103 0.8009 4.0566
Sc Pa Er
2 1 1
Cartesian
-1.1051 0.4004 2.0283
1.3662 -1.5847 1.0572
-1.2844 -2.8580 2.5739
-1.5455 -1.6737 -0.5116

---

# 7
ErSc2Pa (GGA-PBE, relaxed); distance to the lowest polymorph of the same formula = 36.6 meV per atom; calculated volume = 104 Å³/cell; mass density = 7783 kg/m3; ΔE_f = 10 kJ/mol of atoms; total moment = 0.2 μB/f.u.; crystal system = tetragonal; SG = P4/mmm
1.0
-0.8291 -0.4378 -3.1688
0.7678 -3.2050 0.2420
-8.9635 -1.9498 2.6145
Sc Pa Er
2 1 1
Cartesian
-6.8547 -1.4911 1.9994
-2.1088 -0.4587 0.6151
-0.0306 -1.8214 -1.4634
-4.5124 -2.7964 -0.1561

---

# 8
ErScPa (GGA-PBE, relaxed); distance to the lowest polymorph of the same formula = 84.8 meV per atom; calculated volume = 79 Å³/cell; mass density = 9265 kg/m3; ΔE_f = 12 kJ/mol of atoms; total moment = 0.2 μB/f.u.; crystal system = tetragonal; SG = I4mm
1.0
-0.1957 -3.2436 0.5600
1.4970 0.4119 2.9090
-7.1462 2.3617 1.4742
Sc Pa Er
1 1 1
Cartesian
-4.2303 0.6160 2.0897
-1.5616 -1.0938 2.8273
-0.0529 0.0077 0.0261